Material: Ac3Sm2Pb4
Method: DFT, GGA-PBE
State: optimized geometry

The space group is C2/m (No. 12) and the conventional cell measures 12.524, 5.054 and 10.583 Å, with angles of 90.00, 96.86 and 90.00 degrees. Symmetry generates all atoms from Ac at (0.000, 0.000, 0.000), Ac at (0.127, 0.500, 0.407), Sm at (0.182, 0.500, 0.802), Pb at (0.084, 0.000, 0.636) and Pb at (0.168, 0.500, 0.103).

The calculation puts the formation energy at -0.441 eV per atom.



Material: PmYPd
Method: DFT, GGA-PBE
State: optimized geometry

The space group is F-43m (No. 216) and the conventional cell measures 7.015, 7.015 and 7.015 Å, with angles of 90.00, 90.00 and 90.00 degrees. Symmetry generates all atoms from Pm at (0.000, 0.000, 0.000), Y at (0.000, 0.000, 0.500) and Pd at (0.250, 0.250, 0.750).

The calculation puts the formation energy at -0.424 eV per atom.



Material: Li2Mg3Pb
Method: DFT, GGA-PBE
State: optimized geometry

The space group is P6/mmm (No. 191) and the conventional cell measures 5.7554, 5.7554 and 4.9154 Å, with angles of 90.00, 90.00 and 120.00 degrees. Symmetry generates all atoms from Li at (0.3333, 0.6667, 0.0000), Mg at (0.0000, 0.5000, 0.5000) and Pb at (0.0000, 0.0000, 0.0000).

The calculation puts the formation energy at 0.025 eV per atom.



Material: Tb2GeCl8
Method: DFT, GGA-PBE
State: optimized geometry

The space group is C2/m (No. 12) and the conventional cell measures 21.720, 3.856 and 7.833 Å, with angles of 90.00, 100.94 and 90.00 degrees. Symmetry generates all atoms from Tb at (0.158, 0.000, 0.336), Ge at (0.000, 0.500, 0.000), Cl at (0.021, 0.000, 0.240), Cl at (0.119, 0.500, 0.526), Cl at (0.127, 0.500, 0.066) and Cl at (0.248, 0.000, 0.670).

The value obtained for the uncorrected formation energy is -1840.4 meV/atom.



Material: CdAs2CSe
Method: DFT, GGA-PBE
State: optimized geometry

The space group is P4/mmm (No. 123) and the conventional cell measures 5.176, 5.176 and 5.213 Å, with angles of 90.00, 90.00 and 90.00 degrees. Symmetry generates all atoms from Cd at (0.000, 0.000, 0.000), As at (0.000, 0.500, 0.000), C at (0.500, 0.500, 0.500) and Se at (0.000, 0.000, 0.500).

The value obtained for the uncorrected formation energy is 2203.5 meV/atom.



Material: ZnBrCl
Method: DFT, GGA-PBE
State: optimized geometry

The space group is P1 (No. 1) and the conventional cell measures 3.834, 6.476 and 7.605 Å, with angles of 90.06, 90.45 and 90.03 degrees. Symmetry generates all atoms from Zn at (0.000, 0.000, 0.000), Zn at (0.005, 0.512, 0.294), Br at (0.004, 0.134, 0.299), Br at (0.497, 0.114, 0.827), Cl at (0.507, 0.618, 0.442) and Cl at (0.999, 0.642, 0.013).

The value obtained for the uncorrected formation energy is -1005.3 meV/atom.



Material: VH8Rh6
Method: DFT, GGA-PBE
State: optimized geometry

The space group is R-3 (No. 148, hexagonal axes) and the conventional cell measures 7.7059, 7.7059 and 7.0238 Å, with angles of 90.00, 90.00 and 120.00 degrees. Symmetry generates all atoms from V at (0.0000, 0.0000, 0.0000), H at (0.0000, 0.0000, 0.2837), H at (0.0520, 0.4478, 0.8170) and Rh at (0.0505, 0.2481, 0.6700).



Material: In2SnPb5
Method: DFT, GGA-PBE
State: optimized geometry

The space group is C2/m (No. 12) and the conventional cell measures 9.501, 9.972 and 6.900 Å, with angles of 90.00, 132.48 and 90.00 degrees. Symmetry generates all atoms from In at (0.250, 0.250, 0.000), Sn at (0.000, 0.000, 0.000), Pb at (0.000, 0.000, 0.500), Pb at (0.000, 0.500, 0.000), Pb at (0.000, 0.500, 0.500) and Pb at (0.250, 0.250, 0.500).

The calculation puts the formation energy at 0.020 eV per atom.



The evaluated size of the total moment for the records listed, in turn: 1.14, 0.00, 0.00, 0.00, 0.38, 0.00, 0.00, 0.00 μB/f.u..
The evaluated E_tot for the records listed, in turn: -40.564, -17.678, -12.169, -48.895, -11.905, -7.809, -80.601, -27.863 eV/f.u..